No. 1
Entry from the Alexandria database: an optimized crystal structure of Pm2SmHoEr6 (PBE).

Calculated values
formation energy from the elements	0.12	eV/atom
ρ	8.3	Mg/m³
uncorrected energy	-4.500	eV per atom

abc: 8.733 8.733 9.624
angles: 94.46 94.46 118.04
Fractional positions:
Pm (0.194, 0.298, 0.043)
Pm (0.298, 0.194, 0.543)
Pm (0.702, 0.806, 0.457)
Pm (0.806, 0.702, 0.957)
Sm (0.019, 0.981, 0.250)
Sm (0.981, 0.019, 0.750)
Ho (0.407, 0.593, 0.750)
Ho (0.593, 0.407, 0.250)
Er (0.021, 0.573, 0.186)
Er (0.124, 0.743, 0.557)
Er (0.257, 0.876, 0.943)
Er (0.293, 0.506, 0.381)
Er (0.427, 0.979, 0.314)
Er (0.494, 0.707, 0.119)
Er (0.506, 0.293, 0.881)
Er (0.573, 0.021, 0.686)
Er (0.707, 0.494, 0.619)
Er (0.743, 0.124, 0.057)
Er (0.876, 0.257, 0.443)
Er (0.979, 0.427, 0.814)

No. 2
Entry from the Alexandria database: an optimized crystal structure of Pm2SmHoEr (PBE).

Calculated values
formation energy from the elements	0.41	eV/atom
ρ	7.3	Mg/m³
uncorrected energy	-4.267	eV per atom

abc: 7.149 7.149 7.255
angles: 90.00 90.00 107.91
Fractional positions:
Pm (0.193, 0.193, 0.000)
Pm (0.193, 0.193, 0.500)
Pm (0.807, 0.807, 0.000)
Pm (0.807, 0.807, 0.500)
Sm (0.224, 0.776, 0.750)
Sm (0.776, 0.224, 0.250)
Ho (0.491, 0.509, 0.750)
Ho (0.509, 0.491, 0.250)
Er (0.232, 0.768, 0.250)
Er (0.768, 0.232, 0.750)

No. 3
Entry from the Alexandria database: an optimized crystal structure of PmSm3Ho6Er2 (PBE).

Calculated values
formation energy from the elements	0.02	eV/atom
ρ	8.4	Mg/m³
uncorrected energy	-4.608	eV per atom

abc: 6.159 6.159 11.769
angles: 94.99 94.99 119.97
Fractional positions:
Pm (0.000, 0.000, 0.000)
Sm (0.167, 0.833, 0.500)
Sm (0.500, 0.500, 0.500)
Sm (0.833, 0.167, 0.500)
Ho (0.083, 0.417, 0.248)
Ho (0.251, 0.251, 0.752)
Ho (0.417, 0.083, 0.248)
Ho (0.583, 0.917, 0.752)
Ho (0.749, 0.749, 0.248)
Ho (0.917, 0.583, 0.752)
Er (0.333, 0.667, 0.000)
Er (0.667, 0.333, 0.000)

No. 4
Entry from the Alexandria database: an optimized crystal structure of Tb2PmHo3Er6 (PBE).

Calculated values
formation energy from the elements	0.02	eV/atom
ρ	8.7	Mg/m³
uncorrected energy	-4.574	eV per atom

abc: 6.112 6.112 11.690
angles: 94.99 94.99 119.95
Fractional positions:
Tb (0.167, 0.833, 0.000)
Tb (0.833, 0.167, 0.000)
Pm (0.500, 0.500, 0.000)
Ho (0.000, 0.000, 0.500)
Ho (0.333, 0.667, 0.500)
Ho (0.667, 0.333, 0.500)
Er (0.082, 0.416, 0.748)
Er (0.250, 0.250, 0.252)
Er (0.416, 0.082, 0.748)
Er (0.584, 0.918, 0.252)
Er (0.750, 0.750, 0.748)
Er (0.918, 0.584, 0.252)

No. 5
Entry from the Alexandria database: an optimized crystal structure of TbPmHoEr (PBE).

Calculated values
formation energy from the elements	0.13	eV/atom
ρ	8.2	Mg/m³
energy above the lowest structure with this stoichiometry	112	meV per atom
uncorrected energy	-4.503	eV per atom

abc: 5.675 5.675 5.675
angles: 60.00 60.00 60.00
Fractional positions:
Tb (0.000, 0.000, 0.000)
Pm (0.500, 0.500, 0.500)
Ho (0.250, 0.250, 0.250)
Er (0.750, 0.750, 0.750)

No. 6
Entry from the Alexandria database: an optimized crystal structure of TbPmHo2Er6 (PBE).

Calculated values
formation energy from the elements	0.12	eV/atom
ρ	8.6	Mg/m³
uncorrected energy	-4.469	eV per atom

abc: 8.725 8.725 9.460
angles: 93.63 93.63 117.70
Fractional positions:
Tb (0.091, 0.909, 0.750)
Tb (0.909, 0.091, 0.250)
Pm (0.474, 0.526, 0.250)
Pm (0.526, 0.474, 0.750)
Ho (0.197, 0.303, 0.954)
Ho (0.303, 0.197, 0.454)
Ho (0.697, 0.803, 0.546)
Ho (0.803, 0.697, 0.046)
Er (0.009, 0.791, 0.382)
Er (0.067, 0.520, 0.182)
Er (0.209, 0.991, 0.118)
Er (0.250, 0.623, 0.557)
Er (0.377, 0.750, 0.943)
Er (0.480, 0.933, 0.318)
Er (0.520, 0.067, 0.682)
Er (0.623, 0.250, 0.057)
Er (0.750, 0.377, 0.443)
Er (0.791, 0.009, 0.882)
Er (0.933, 0.480, 0.818)
Er (0.991, 0.209, 0.618)

Question: Which formula does entry 1 have?
Answer: Pm2SmHoEr6

Question: Which of these has the highest uncorrected energy?
Answer: Pm2SmHoEr

Question: Among the records above, which one has the highest formation energy from the elements?
Answer: Pm2SmHoEr

Question: What is the formula in the second record?
Answer: Pm2SmHoEr